(a)
Crystalline Sr2NdZn at its relaxed geometry. Source: Alexandria, functional PBE.

Results
* volume: 36.30 Å³ per atom
* symmetry: P4/mmm
* magnetization: 0.00 μB per cell

Cell lengths 3.8016, 3.8016, 10.0474 Å; angles 90.00, 90.00, 90.00 degrees
Fractional positions:
Sr  0.0000  0.0000  0.1988
Nd  0.5000  0.5000  0.5000
Zn  0.5000  0.5000  0.0000
Sr  0.0000  0.0000  0.8012

(b)
Crystalline Sr2NdZn at its relaxed geometry. Source: Alexandria, functional PBE.

Results
* volume: 39.06 Å³ per atom
* symmetry: R-3m
* magnetization: 0.40 μB per cell

Cell lengths 3.8534, 3.8534, 12.3516 Å; angles 81.03, 81.03, 60.00 degrees
Fractional positions:
Zn  0.5000  0.5000  0.5000
Nd  0.0000  0.0000  0.0000
Sr  0.8983  0.8983  0.3050
Sr  0.1017  0.1017  0.6950

Which structure is the most stable? The one labeled (a).

(a)
Crystalline Tb4Nd at its relaxed geometry. Source: Alexandria, functional PBE.

Results
* volume: 32.47 Å³ per atom
* symmetry: C2/m
* magnetization: 0.00 μB per cell

Cell lengths 3.5849, 3.5849, 14.7369 Å; angles 83.06, 83.06, 59.97 degrees
Fractional positions:
Tb  0.8002  0.8002  0.5992
Nd  0.0000  0.0000  0.0000
Tb  0.4008  0.4008  0.7968
Tb  0.1998  0.1998  0.4008
Tb  0.5992  0.5992  0.2032

(b)
Crystalline Tb4Nd at its relaxed geometry. Source: Alexandria, functional PBE.

Results
* volume: 32.67 Å³ per atom
* symmetry: Cmmm
* magnetization: 0.00 μB per cell

Cell lengths 7.0805, 6.5221, 9.5371 Å; angles 63.74, 68.21, 57.13 degrees
Fractional positions:
Tb  0.1501  0.8001  0.3997
Tb  0.1950  0.3902  0.2198
Tb  0.8499  0.1999  0.6003
Tb  0.3499  0.1999  0.6003
Tb  0.8050  0.6098  0.7802
Tb  0.6951  0.3900  0.2197
Nd  0.2501  0.0000  0.0000
Tb  0.3049  0.6100  0.7803
Nd  0.7499  0.0000  0.0000
Tb  0.6501  0.8001  0.3997

(c)
Crystalline Tb4Nd at its relaxed geometry. Source: Alexandria, functional PBE.

Results
* volume: 36.56 Å³ per atom
* symmetry: Pm-3m
* magnetization: 0.00 μB per cell

Cell lengths 5.6754, 5.6754, 5.6754 Å; angles 90.00, 90.00, 90.00 degrees
Fractional positions:
Nd  0.5000  0.5000  0.5000
Tb  0.0000  0.0000  0.0000
Tb  0.5000  0.0000  0.5000
Tb  0.5000  0.5000  0.0000
Tb  0.0000  0.5000  0.5000

Which structure is the most stable? The one labeled (a).

(a)
Crystalline TbNd at its relaxed geometry. Source: Alexandria, functional PBE.

Results
* volume: 33.58 Å³ per atom
* symmetry: Pmmn
* magnetization: 0.00 μB per cell

Cell lengths 3.6217, 7.2402, 5.1218 Å; angles 90.00, 90.00, 90.00 degrees
Fractional positions:
Nd  0.7497  0.3726  0.7500
Tb  0.2498  0.1220  0.2500
Tb  0.7502  0.8780  0.7500
Nd  0.2503  0.6274  0.2500

(b)
Crystalline TbNd at its relaxed geometry. Source: Alexandria, functional PBE.

Results
* volume: 33.91 Å³ per atom
* symmetry: P-6m2
* magnetization: 0.00 μB per cell

Cell lengths 3.6687, 3.6687, 5.8178 Å; angles 90.00, 90.00, 120.00 degrees
Fractional positions:
Tb  0.0000  0.0000  0.0000
Nd  0.3333  0.6667  0.5000

(c)
Crystalline TbNd at its relaxed geometry. Source: Alexandria, functional PBE.

Results
* volume: 34.22 Å³ per atom
* symmetry: Imm2
* magnetization: 0.00 μB per cell

Cell lengths 3.5840, 6.1836, 9.9305 Å; angles 108.14, 100.40, 90.00 degrees
Fractional positions:
Nd  0.6574  0.1590  0.3147
Tb  0.8413  0.3432  0.6826
Nd  0.5000  0.3362  0.0000
Nd  0.3426  0.8443  0.6853
Tb  0.1587  0.6606  0.3174
Tb  0.0000  0.8334  0.0000

(d)
Crystalline TbNd at its relaxed geometry. Source: Alexandria, functional PBE.

Results
* volume: 33.62 Å³ per atom
* symmetry: C2/m
* magnetization: 0.00 μB per cell

Cell lengths 3.7346, 5.9931, 6.9538 Å; angles 115.53, 74.90, 90.00 degrees
Fractional positions:
Tb  0.3843  0.3800  0.7601
Nd  0.0857  0.1312  0.2623
Nd  0.9143  0.8688  0.7377
Tb  0.6157  0.6200  0.2399

Which structure is the most stable? The one labeled (a).